# 1
DFT (PBE) results for Ce4SiPS2 after structural relaxation.

## Properties
symmetry	P2/m
formation energy from raw total energies	-1.539	eV per atom
crystal system	monoclinic
DOS at the Fermi energy	2.16	states/eV/atom

a b c (Å): 4.098 7.057 7.099
angles (deg): 70.42 90.00 90.00
Last column: magnetic moment on the atom in μB.
Sites, in units of the cell vectors:
1 S 0.500 0.000 0.500  -0.02
2 Ce 0.000 0.250 0.247  0.56
3 Si 0.000 0.500 0.500  -0.02
4 S 0.000 0.000 0.000  -0.02
5 P 0.500 0.500 0.000  -0.02
6 Ce 0.500 0.247 0.754  0.46
7 Ce 0.500 0.753 0.246  0.46
8 Ce 0.000 0.750 0.753  0.56


# 2
DFT (PBE) results for ScTiNiRh after structural relaxation.

## Properties
symmetry	F-43m
calculated total energy	-7.449	eV/atom
crystal system	cubic
DOS at the Fermi energy	1.36	states/eV/atom

a b c (Å): 4.438 4.438 4.438
angles (deg): 60.00 60.00 60.00
Sites, in units of the cell vectors:
1 Ni 0.000 0.000 0.000
2 Sc 0.750 0.750 0.750
3 Rh 0.500 0.500 0.500
4 Ti 0.250 0.250 0.250


# 3
DFT (PBE) results for Ca2ZrS4 after structural relaxation.

## Properties
symmetry	Pbam
formation energy from raw total energies	-1.858	eV per atom
crystal system	orthorhombic

a b c (Å): 3.900 7.037 11.789
angles (deg): 90.00 90.00 90.00
Sites, in units of the cell vectors:
1 S 0.000 0.880 0.296
2 S 0.000 0.620 0.796
3 S 0.500 0.238 0.455
4 Ca 0.500 0.903 0.816
5 S 0.500 0.762 0.545
6 S 0.000 0.380 0.204
7 Zr 0.000 0.000 0.500
8 S 0.000 0.120 0.704
9 Ca 0.500 0.403 0.684
10 S 0.500 0.738 0.045
11 Ca 0.500 0.097 0.184
12 Ca 0.500 0.597 0.316
13 S 0.500 0.262 0.955
14 Zr 0.000 0.500 0.000


# 4
DFT (PBE) results for AgPdOF2 after structural relaxation.

## Properties
energy relative to the lowest polymorph listed for this composition	0.507	eV per atom
symmetry	P4/mmm
formation energy from raw total energies	-0.133	eV per atom
crystal system	tetragonal
DOS at the Fermi energy	0.95	states/eV/atom

a b c (Å): 4.212 4.212 4.195
angles (deg): 90.00 90.00 90.00
Last column: magnetic moment on the atom in μB.
Sites, in units of the cell vectors:
1 Pd 0.500 0.500 0.500  0.93
2 O 0.000 0.000 0.500  0.42
3 F 0.500 0.000 0.000  0.03
4 F 0.000 0.500 0.000  0.03
5 Ag 0.000 0.000 0.000  0.09


# 5
DFT (PBE) results for CuSeS4 after structural relaxation.

## Properties
symmetry	P-1
formation energy from raw total energies	0.100	eV per atom
crystal system	triclinic
DOS at the Fermi energy	0.39	states/eV/atom

a b c (Å): 5.528 13.693 9.951
angles (deg): 51.48 58.93 30.71
Sites, in units of the cell vectors:
1 S 0.779 0.509 0.523
2 S 0.181 0.236 0.045
3 Cu 0.278 0.639 0.740
4 Cu 0.722 0.361 0.260
5 S 0.819 0.764 0.955
6 S 0.293 0.023 0.476
7 S 0.202 0.708 0.049
8 S 0.221 0.491 0.477
9 S 0.798 0.292 0.951
10 Se 0.266 0.142 0.738
11 S 0.707 0.977 0.524
12 Se 0.734 0.858 0.262


# 6
DFT (PBE) results for H4Rh after structural relaxation.

## Properties
symmetry	Pm-3m
calculated total energy	-3.511	eV/atom
crystal system	cubic
DOS at the Fermi energy	0.64	states/eV/atom

a b c (Å): 3.331 3.331 3.331
angles (deg): 90.00 90.00 90.00
Last column: magnetic moment on the atom in μB.
Sites, in units of the cell vectors:
1 H 0.000 0.500 0.500  0.00
2 H 0.500 0.500 0.000  0.00
3 H 0.500 0.000 0.500  0.00
4 H 0.000 0.000 0.000  0.17
5 Rh 0.500 0.500 0.500  0.10


# 7
DFT (PBE) results for TbPrMoN3 after structural relaxation.

## Properties
symmetry	P2_1/m
formation energy from raw total energies	-1.006	eV per atom
crystal system	monoclinic
DOS at the Fermi energy	0.22	states/eV/atom

a b c (Å): 3.549 9.126 6.224
angles (deg): 103.57 90.00 90.00
Sites, in units of the cell vectors:
1 N 0.250 0.843 0.481
2 Pr 0.250 0.315 0.347
3 N 0.750 0.803 0.061
4 Mo 0.750 0.924 0.350
5 N 0.250 0.514 0.756
6 Pr 0.750 0.685 0.653
7 N 0.250 0.197 0.939
8 N 0.750 0.157 0.519
9 Mo 0.250 0.076 0.650
10 N 0.750 0.486 0.244
11 Tb 0.750 0.353 0.862
12 Tb 0.250 0.647 0.138


# 8
DFT (PBE) results for MgCo2As after structural relaxation.

## Properties
symmetry	F-43m
calculated total energy	-4.951	eV/atom
crystal system	cubic
DOS at the Fermi energy	1.56	states/eV/atom

a b c (Å): 4.261 4.261 4.261
angles (deg): 60.00 60.00 60.00
Last column: magnetic moment on the atom in μB.
Sites, in units of the cell vectors:
1 Mg 0.750 0.750 0.750  -0.02
2 Co 0.000 0.000 0.000  1.35
3 As 0.500 0.500 0.500  0.01
4 Co 0.250 0.250 0.250  1.24


# 9
DFT (PBE) results for V2ZnIr after structural relaxation.

## Properties
symmetry	P4/mmm
calculated total energy	-7.317	eV/atom
crystal system	tetragonal
DOS at the Fermi energy	0.82	states/eV/atom

a b c (Å): 2.731 2.731 7.483
angles (deg): 90.00 90.00 90.00
Sites, in units of the cell vectors:
1 Ir 0.500 0.500 0.500
2 V 0.000 0.000 0.744
3 Zn 0.500 0.500 0.000
4 V 0.000 0.000 0.256


# 10
DFT (PBE) results for NaCa2CdN after structural relaxation.

## Properties
symmetry	P4/mmm
formation energy from raw total energies	-0.341	eV per atom
crystal system	tetragonal
DOS at the Fermi energy	0.50	states/eV/atom

a b c (Å): 4.869 4.869 5.026
angles (deg): 90.00 90.00 90.00
Sites, in units of the cell vectors:
1 N 0.000 0.000 0.000
2 Ca 0.000 0.500 0.000
3 Cd 0.500 0.500 0.500
4 Na 0.000 0.000 0.500
5 Ca 0.500 0.000 0.000


# 11
DFT (PBE) results for Ce3Te2H2 after structural relaxation.

## Properties
symmetry	P-1
calculated total energy	-5.099	eV/atom
crystal system	triclinic
DOS at the Fermi energy	2.45	states/eV/atom

a b c (Å): 3.833 5.944 8.000
angles (deg): 97.02 106.62 107.42
Last column: magnetic moment on the atom in μB.
Sites, in units of the cell vectors:
1 Te 0.294 0.201 0.401  -0.03
2 Ce 0.889 0.580 0.252  1.14
3 H 0.398 0.726 0.043  -0.01
4 Te 0.706 0.799 0.599  -0.03
5 H 0.602 0.274 0.957  -0.01
6 Ce 0.111 0.420 0.748  1.14
7 Ce 0.000 0.000 0.000  1.28


# 12
DFT (PBE) results for Pr6C2Cl3O after structural relaxation.

## Properties
symmetry	C2/m
formation energy from raw total energies	-1.390	eV per atom
crystal system	monoclinic
DOS at the Fermi energy	0.16	states/eV/atom

a b c (Å): 6.535 6.535 7.499
angles (deg): 98.36 98.36 120.01
Sites, in units of the cell vectors:
1 Pr 0.397 0.063 0.190
2 C 0.666 0.334 0.000
3 Cl 0.500 0.500 0.500
4 Cl 0.828 0.172 0.500
5 Pr 0.063 0.397 0.190
6 Pr 0.937 0.603 0.810
7 C 0.334 0.666 0.000
8 Pr 0.603 0.937 0.810
9 Pr 0.730 0.730 0.191
10 Pr 0.270 0.270 0.809
11 O 0.000 0.000 0.000
12 Cl 0.172 0.828 0.500


# 13
DFT (PBE) results for PmAs2F8 after structural relaxation.

## Properties
symmetry	C2/m
formation energy from raw total energies	-2.539	eV per atom
crystal system	monoclinic
DOS at the Fermi energy	0.22	states/eV/atom

a b c (Å): 5.950 5.881 5.881
angles (deg): 52.64 86.29 86.29
Sites, in units of the cell vectors:
1 Pm 0.000 0.000 0.000
2 F 0.827 0.613 0.613
3 F 0.791 0.621 0.075
4 F 0.347 0.905 0.905
5 F 0.653 0.095 0.095
6 F 0.791 0.075 0.621
7 As 0.394 0.247 0.247
8 As 0.606 0.753 0.753
9 F 0.173 0.387 0.387
10 F 0.209 0.925 0.379
11 F 0.209 0.379 0.925


# 14
DFT (PBE) results for Sm4Dy4Er3 after structural relaxation.

## Properties
energy relative to the lowest polymorph listed for this composition	0.062	eV per atom
symmetry	Immm
crystal system	orthorhombic
DOS at the Fermi energy	1.63	states/eV/atom

a b c (Å): 3.591 9.345 11.917
angles (deg): 113.08 98.66 90.00
Sites, in units of the cell vectors:
1 Dy 0.500 0.817 0.000
2 Sm 0.644 0.465 0.288
3 Dy 0.740 0.240 0.481
4 Sm 0.644 0.823 0.288
5 Dy 0.260 0.760 0.519
6 Er 0.108 0.108 0.215
7 Er 0.000 0.500 0.000
8 Sm 0.356 0.535 0.712
9 Sm 0.356 0.177 0.712
10 Er 0.892 0.892 0.785
11 Dy 0.500 0.183 0.000


# 15
DFT (PBE) results for Ba2SrGa after structural relaxation.

## Properties
energy relative to the lowest polymorph listed for this composition	0.187	eV per atom
symmetry	I-42d
crystal system	tetragonal
DOS at the Fermi energy	1.47	states/eV/atom

a b c (Å): 10.502 10.502 8.248
angles (deg): 50.46 50.46 90.00
Sites, in units of the cell vectors:
1 Ba 0.875 0.793 0.750
2 Ga 0.500 0.500 0.000
3 Ba 0.375 0.457 0.750
4 Sr 0.000 0.000 0.000
5 Ba 0.543 0.125 0.250
6 Ba 0.207 0.625 0.250
7 Ga 0.250 0.750 0.500
8 Sr 0.750 0.250 0.500


# 16
DFT (PBE) results for Cs2CeHo3O8 after structural relaxation.

## Properties
symmetry	R3m
formation energy from raw total energies	-2.851	eV per atom
crystal system	trigonal
DOS at the Fermi energy	0.82	states/eV/atom

a b c (Å): 6.985 6.985 8.238
angles (deg): 64.91 64.91 60.00
Last column: magnetic moment on the atom in μB.
Sites, in units of the cell vectors:
1 Ho 0.988 0.494 0.024  -0.01
2 O 0.281 0.765 0.189  0.09
3 O 0.715 0.196 0.892  0.10
4 Ho 0.494 0.494 0.024  -0.01
5 O 0.277 0.277 0.169  0.26
6 O 0.196 0.715 0.892  0.10
7 Cs 0.146 0.146 0.562  0.01
8 Ho 0.494 0.988 0.024  -0.01
9 O 0.765 0.281 0.189  0.09
10 O 0.707 0.707 0.880  0.19
11 Ce 0.976 0.976 0.072  -0.02
12 O 0.765 0.765 0.189  0.09
13 Cs 0.493 0.493 0.520  0.00
14 O 0.196 0.196 0.892  0.10


# 17
DFT (PBE) results for TmInHg4 after structural relaxation.

## Properties
energy relative to the lowest polymorph listed for this composition	0.000	eV per atom
symmetry	P4/mmm
crystal system	tetragonal
DOS at the Fermi energy	0.54	states/eV/atom

a b c (Å): 3.936 3.934 9.700
angles (deg): 89.97 89.97 90.00
Sites, in units of the cell vectors:
1 Hg 0.501 0.001 0.665
2 Hg 0.499 0.999 0.335
3 Tm 0.000 0.500 0.500
4 In 0.500 0.000 0.000
5 Hg 0.000 0.500 0.830
6 Hg 0.000 0.500 0.170


# 18
DFT (PBE) results for PrYSb after structural relaxation.

## Properties
symmetry	P3m1
formation energy from raw total energies	-0.485	eV per atom
crystal system	trigonal
DOS at the Fermi energy	1.05	states/eV/atom

a b c (Å): 4.191 5.118 5.118
angles (deg): 120.00 90.00 90.00
Sites, in units of the cell vectors:
1 Y 0.108 0.000 0.000
2 Pr 0.627 0.667 0.333
3 Sb 0.265 0.333 0.667


# 19
DFT (PBE) results for YbSmSe3 after structural relaxation.

## Properties
symmetry	Cmcm
formation energy from raw total energies	-1.692	eV per atom
crystal system	orthorhombic
DOS at the Fermi energy	3.12	states/eV/atom

a b c (Å): 7.028 7.028 9.852
angles (deg): 90.00 90.00 146.69
Last column: magnetic moment on the atom in μB.
Sites, in units of the cell vectors:
1 Sm 0.251 0.749 0.250  0.00
2 Sm 0.749 0.251 0.750  0.00
3 Yb 0.000 0.000 0.500  0.30
4 Se 0.904 0.096 0.250  0.02
5 Yb 0.000 0.000 0.000  0.30
6 Se 0.648 0.352 0.432  0.03
7 Se 0.352 0.648 0.932  0.03
8 Se 0.648 0.352 0.068  0.03
9 Se 0.096 0.904 0.750  0.02
10 Se 0.352 0.648 0.568  0.03


# 20
DFT (PBE) results for La4PrY3 after structural relaxation.

## Properties
symmetry	Pmmn
calculated total energy	-5.464	eV/atom
crystal system	orthorhombic
DOS at the Fermi energy	1.78	states/eV/atom

a b c (Å): 5.204 10.365 10.400
angles (deg): 90.00 90.00 90.00
Sites, in units of the cell vectors:
1 Y 0.064 0.619 0.750
2 La 0.064 0.125 0.750
3 La 0.064 0.874 0.500
4 Y 0.064 0.619 0.250
5 La 0.564 0.126 0.500
6 La 0.564 0.126 0.000
7 Y 0.564 0.620 0.000
8 La 0.564 0.875 0.750
9 Pr 0.064 0.380 0.000
10 Y 0.564 0.381 0.250
11 Y 0.064 0.380 0.500
12 La 0.064 0.874 0.000
13 Y 0.564 0.381 0.750
14 La 0.564 0.875 0.250
15 Pr 0.564 0.620 0.500
16 La 0.064 0.125 0.250


# 21
DFT (PBE) results for Ti3GaPt after structural relaxation.

## Properties
energy relative to the lowest polymorph listed for this composition	0.675	eV per atom
symmetry	Pm-3m
crystal system	cubic
DOS at the Fermi energy	1.12	states/eV/atom

a b c (Å): 4.788 4.788 4.788
angles (deg): 90.00 90.00 90.00
Sites, in units of the cell vectors:
1 Ti 0.000 0.500 0.000
2 Ga 0.500 0.500 0.500
3 Ti 0.000 0.000 0.500
4 Pt 0.000 0.000 0.000
5 Ti 0.500 0.000 0.000


# 22
DFT (PBE) results for Ac2LaNd2 after structural relaxation.

## Properties
energy relative to the lowest polymorph listed for this composition	0.550	eV per atom
symmetry	P4/mbm
crystal system	tetragonal
DOS at the Fermi energy	2.20	states/eV/atom

a b c (Å): 3.496 11.033 11.033
angles (deg): 90.00 90.00 90.00
Sites, in units of the cell vectors:
1 La 0.000 0.500 0.500
2 Ac 0.500 0.617 0.117
3 Nd 0.500 0.179 0.679
4 Nd 0.500 0.679 0.821
5 Ac 0.500 0.883 0.617
6 La 0.000 0.000 0.000
7 Nd 0.500 0.321 0.179
8 Nd 0.500 0.821 0.321
9 Ac 0.500 0.383 0.883
10 Ac 0.500 0.117 0.383


# 23
DFT (PBE) results for ScReAg2 after structural relaxation.

## Properties
energy relative to the lowest polymorph listed for this composition	0.103	eV per atom
symmetry	Immm
crystal system	orthorhombic
DOS at the Fermi energy	0.73	states/eV/atom

a b c (Å): 5.757 5.757 5.757
angles (deg): 149.11 133.12 57.20
Sites, in units of the cell vectors:
1 Ag 0.514 0.514 0.000
2 Sc 0.250 0.750 0.500
3 Ag 0.986 0.986 0.000
4 Re 0.750 0.250 0.500


# 24
DFT (PBE) results for LiNd3Pu2S6 after structural relaxation.

## Properties
symmetry	C2/m
formation energy from raw total energies	-1.853	eV per atom
crystal system	monoclinic
DOS at the Fermi energy	1.55	states/eV/atom

a b c (Å): 6.932 6.932 6.937
angles (deg): 99.60 99.60 120.02
Last column: magnetic moment on the atom in μB.
Sites, in units of the cell vectors:
1 Nd 0.834 0.166 0.500  0.07
2 S 0.591 0.920 0.761  -0.05
3 Li 0.000 0.000 0.000  0.00
4 Pu 0.333 0.667 0.000  5.30
5 S 0.250 0.250 0.762  -0.05
6 S 0.920 0.591 0.761  -0.05
7 Nd 0.500 0.500 0.500  0.07
8 S 0.080 0.409 0.239  -0.05
9 Pu 0.667 0.333 0.000  5.30
10 S 0.409 0.080 0.239  -0.05
11 S 0.750 0.750 0.238  -0.05
12 Nd 0.166 0.834 0.500  0.07